Entry from Alexandria: a relaxed ZrScBi crystal (GGA-PBE).

Geometry as CIF:
```
data_ZrScBi
_cell_length_a 4.3144
_cell_length_b 4.3144
_cell_length_c 7.9644
_cell_angle_alpha 90.00
_cell_angle_beta 90.00
_cell_angle_gamma 90.00
_symmetry_space_group_name_H-M 'P 4/n m m'
_symmetry_Int_Tables_number 129
loop_
_symmetry_equiv_pos_as_xyz
'x,y,z'
'-x,-y,-z'
'-y+1/2,x,z'
'y+1/2,-x,-z'
'-x+1/2,-y+1/2,z'
'x+1/2,y+1/2,-z'
'y,-x+1/2,z'
'-y,x+1/2,-z'
'x+1/2,-y,-z'
'-x+1/2,y,z'
'-y,-x,-z'
'y,x,z'
'-x,y+1/2,-z'
'x,-y+1/2,z'
'y+1/2,x+1/2,-z'
'-y+1/2,-x+1/2,z'
loop_
_atom_site_label
_atom_site_type_symbol
_atom_site_fract_x
_atom_site_fract_y
_atom_site_fract_z
Zr1 Zr 0.2500 0.7500 0.0000
Sc1 Sc 0.2500 0.2500 0.3345
Bi1 Bi 0.2500 0.2500 0.7140
```

Properties
Magnetic moment (μB per formula unit): 0.00
Energy of formation (eV/atom): -0.483
Uncorrected energy (eV/atom): -6.7364
DOS at the Fermi energy (states/eV/cell): 5.608